A relaxed structure of CdFeF5. Source: Alexandria via LeMat-Bulk, functional GGA+U.

Geometry as POSCAR:
```
CdFeF5
1.0
3.8888 0.0000 0.0000
0.0000 6.6709 0.0000
0.0000 0.0000 8.1793
Cd Fe F
2 2 10
direct
0.0000 0.0000 0.0000
0.5000 0.5000 0.5000
0.0000 0.0000 0.5000
0.5000 0.5000 0.0000
0.0000 0.0000 0.2650
0.0000 0.0000 0.7350
0.0000 0.2966 0.5000
0.0000 0.5000 0.0000
0.0000 0.7034 0.5000
0.5000 0.0000 0.5000
0.5000 0.2034 0.0000
0.5000 0.5000 0.2350
0.5000 0.5000 0.7650
0.5000 0.7966 0.0000
```

Properties
Density of states at the Fermi level ... 0.000 states/eV/f.u.
Theoretical density ... 4.12 g/cm3
Total DFT energy (no corrections) ... -32.29 eV/f.u.
Symmetry ... Immm (71)